No. 1
# Hg5S

A relaxed Hg5S crystal (PBE, Alexandria).

It has space group Cmmm (No. 65), with a = 3.947 Å, b = 22.126 Å, c = 3.840 Å, α = 90.00°, β = 90.00° and γ = 90.00°. The distinct sites, in fractional coordinates, are Hg at (0.000, 0.000, 0.000), Hg at (0.000, 0.126, 0.500), Hg at (0.000, 0.304, 0.000) and S at (0.000, 0.500, 0.500).

The calculation puts the uncorrected formation energy at 0.0602 eV per atom. The value obtained for the size of the total moment is 0.0 μB/f.u. For the density, the calculation gives 10.25 g/cm3. The calculated volume is 27.95 Å³/atom.


No. 2
# Ac5Hg2CN

A relaxed Ac5Hg2CN crystal (PBE, Alexandria).

It has space group Cmc2_1 (No. 36), with a = 4.130 Å, b = 19.368 Å, c = 14.382 Å, α = 90.00°, β = 90.00° and γ = 90.00°. The distinct sites, in fractional coordinates, are Ac at (0.000, 0.001, 0.000), Ac at (0.000, 0.159, 0.706), Ac at (0.000, 0.186, 0.090), Ac at (0.000, 0.211, 0.350), Ac at (0.000, 0.446, 0.736), Hg at (0.000, 0.366, 0.015), Hg at (0.000, 0.388, 0.388), C at (0.000, 0.294, 0.721) and N at (0.000, 0.064, 0.144).

The calculation puts the uncorrected formation energy at -0.4277 eV per atom. The value obtained for the size of the total moment is 0.0 μB/f.u. For the density, the calculation gives 9.02 g/cm3. The calculated volume is 31.95 Å³/atom.


No. 3
# LaPmDy2

A relaxed LaPmDy2 crystal (PBE, Alexandria).

It has space group R-3m (No. 166, hexagonal axes), with a = 3.6293 Å, b = 3.6293 Å, c = 35.1438 Å, α = 90.00°, β = 90.00° and γ = 120.00°. The distinct sites, in fractional coordinates, are La at (0.0000, 0.0000, 0.0000), Pm at (0.0000, 0.0000, 0.5000) and Dy at (0.0000, 0.0000, 0.2491).

The value obtained for the size of the total moment is 0.0 μB/f.u. For the density, the calculation gives 7.57 g/cm3. The calculated volume is 33.41 Å³/atom. The calculation puts the energy relative to the elements at 0.01 eV per atom. The value obtained for the energy above the most stable polymorph in this dataset is 0 meV/atom.


No. 4
# Co2HgMo

A relaxed Co2HgMo crystal (PBE, Alexandria).

It has space group R3m (No. 160, hexagonal axes), with a = 2.7862 Å, b = 2.7862 Å, c = 26.5398 Å, α = 90.00°, β = 90.00° and γ = 120.00°. The distinct sites, in fractional coordinates, are Co at (0.0000, 0.0000, 0.0000), Co at (0.0000, 0.0000, 0.2640), Hg at (0.0000, 0.0000, 0.5092) and Mo at (0.0000, 0.0000, 0.7437).

The value obtained for the size of the total moment is 2.4 μB/f.u. For the density, the calculation gives 11.57 g/cm3. The calculated volume is 14.87 Å³/atom. The calculation puts the energy relative to the elements at 0.48 eV per atom.


No. 5
# PrHoTlGe

A relaxed PrHoTlGe crystal (PBE, Alexandria).

It has space group F-43m (No. 216), with a = 7.509 Å, b = 7.509 Å, c = 7.509 Å, α = 90.00°, β = 90.00° and γ = 90.00°. The distinct sites, in fractional coordinates, are Pr at (0.000, 0.000, 0.000), Ho at (0.000, 0.000, 0.500), Tl at (0.250, 0.250, 0.750) and Ge at (0.250, 0.250, 0.250).

The value obtained for the size of the total moment is 0.0 μB/f.u. For the density, the calculation gives 9.14 g/cm3. The calculated volume is 26.47 Å³/atom. The calculation puts the energy relative to the elements at -0.43 eV per atom.


No. 6
# PrNd6Dy3Tm2

A relaxed PrNd6Dy3Tm2 crystal (PBE, Alexandria).

It has space group C2/m (No. 12), with a = 6.279 Å, b = 10.874 Å, c = 11.907 Å, α = 90.00°, β = 100.11° and γ = 90.00°. The distinct sites, in fractional coordinates, are Pr at (0.000, 0.000, 0.000), Nd at (0.249, 0.333, 0.749), Nd at (0.250, 0.000, 0.749), Dy at (0.000, 0.167, 0.500), Dy at (0.000, 0.500, 0.500) and Tm at (0.000, 0.333, 0.000).

The value obtained for the size of the total moment is 0.0 μB/f.u. For the density, the calculation gives 7.60 g/cm3. The calculated volume is 33.35 Å³/atom. The calculation puts the energy relative to the elements at 0.01 eV per atom.


No. 7
# Pm3PuIr3

A relaxed Pm3PuIr3 crystal (PBE, Alexandria).

It has space group R-3 (No. 148, hexagonal axes), with a = 8.4695 Å, b = 8.4695 Å, c = 17.4809 Å, α = 90.00°, β = 90.00° and γ = 120.00°. The distinct sites, in fractional coordinates, are Pm at (0.0168, 0.7327, 0.1022), Pu at (0.0000, 0.0000, 0.3275) and Ir at (0.0088, 0.6251, 0.9373).

The value obtained for the size of the total moment is 5.0 μB/f.u. For the density, the calculation gives 11.52 g/cm3. The calculated volume is 25.86 Å³/atom. The calculation puts the energy relative to the elements at -0.55 eV per atom. The value obtained for the energy above the most stable polymorph in this dataset is 0 meV/atom.


No. 8
# NaTlBiO4

A relaxed NaTlBiO4 crystal (PBE, Alexandria).

It has space group Imma (No. 74), with a = 6.857 Å, b = 6.993 Å, c = 9.800 Å, α = 90.00°, β = 90.00° and γ = 90.00°. The distinct sites, in fractional coordinates, are Na at (0.000, 0.250, 0.132), Tl at (0.250, 0.250, 0.750), Bi at (0.000, 0.000, 0.500), O at (0.000, 0.030, 0.730) and O at (0.213, 0.250, 0.507).

The calculation puts the uncorrected formation energy at -1.0391 eV per atom. The value obtained for the size of the total moment is 0.0 μB/f.u. For the density, the calculation gives 7.07 g/cm3. The calculated volume is 16.78 Å³/atom.